## SmScCu4 (PBE-GGA)

Data for an optimized crystal structure of SmScCu4.

## Properties
relative energy among the computed polymorphs	0	kJ/mol of formula units
formation enthalpy at 0 K	-214	meV/atom
uncorrected energy	-28.722	eV for the cell shown

Cell lengths 5.386, 5.386, 5.386 Å; angles 133.55, 103.09, 94.85 degrees
Fractional positions:
Sm 0.000 0.000 0.000
Sc 0.409 0.909 0.500
Cu 0.419 0.611 0.808
Cu 0.583 0.284 0.299
Cu 0.803 0.611 0.192
Cu 0.984 0.284 0.701

---

## Pm6Pr2Er (PBE-GGA)

Data for an optimized crystal structure of Pm6Pr2Er.

## Properties
relative energy among the computed polymorphs	0	kJ/mol of formula units
formation enthalpy at 0 K	178	meV/atom
uncorrected energy	-41.020	eV for the cell shown

Cell lengths 10.321, 10.321, 10.321 Å; angles 160.53, 120.03, 63.69 degrees
Fractional positions:
Pm 0.021 0.834 0.187
Pm 0.306 0.500 0.806
Pm 0.353 0.166 0.187
Pm 0.647 0.834 0.813
Pm 0.694 0.500 0.194
Pm 0.979 0.166 0.813
Pr 0.333 0.333 0.000
Pr 0.667 0.667 0.000
Er 0.000 0.000 0.000

---

## NaLi2Ag2 (PBE-GGA)

Data for an optimized crystal structure of NaLi2Ag2.

## Properties
relative energy among the computed polymorphs	0	kJ/mol of formula units
formation enthalpy at 0 K	-132	meV/atom
uncorrected energy	-23.016	eV for the cell shown

Cell lengths 8.033, 8.033, 2.936 Å; angles 90.00, 90.00, 90.00 degrees
Fractional positions:
Na 0.000 0.000 0.000
Na 0.500 0.500 0.000
Li 0.129 0.371 0.000
Li 0.371 0.871 0.000
Li 0.629 0.129 0.000
Li 0.871 0.629 0.000
Ag 0.163 0.663 0.500
Ag 0.337 0.163 0.500
Ag 0.663 0.837 0.500
Ag 0.837 0.337 0.500

---

## KNiMo2 (PBE-GGA)

Data for an optimized crystal structure of KNiMo2.

## Properties
relative energy among the computed polymorphs	280	kJ/mol of formula units
formation enthalpy at 0 K	1391	meV/atom
uncorrected energy	-22.976	eV for the cell shown

Cell lengths 4.583, 4.583, 4.583 Å; angles 60.00, 60.00, 60.00 degrees
Fractional positions:
K 0.000 0.000 0.000
Ni 0.250 0.250 0.250
Mo 0.500 0.500 0.500
Mo 0.750 0.750 0.750

---

## CsHCl2 (PBE-GGA)

Data for an optimized crystal structure of CsHCl2.

## Properties
relative energy among the computed polymorphs	14	kJ/mol of formula units
uncorrected energy	-51.793	eV for the cell shown

Cell lengths 6.637, 6.037, 17.009 Å; angles 90.00, 97.66, 90.00 degrees
Fractional positions:
Cs 0.191 0.239 0.125
Cs 0.191 0.761 0.625
Cs 0.809 0.239 0.375
Cs 0.809 0.761 0.875
H 0.200 0.099 0.871
H 0.200 0.901 0.371
H 0.800 0.099 0.629
H 0.800 0.901 0.129
Cl 0.082 0.266 0.917
Cl 0.082 0.734 0.417
Cl 0.302 0.094 0.328
Cl 0.302 0.906 0.828
Cl 0.698 0.094 0.172
Cl 0.698 0.906 0.672
Cl 0.918 0.266 0.583
Cl 0.918 0.734 0.083

---

## Al2Tl14Se9 (PBE-GGA)

Data for an optimized crystal structure of Al2Tl14Se9.

## Properties
energy relative to the elements, uncorrected	-0.4180	eV per atom
uncorrected energy	-82.424	eV for the cell shown

Cell lengths 9.253, 9.253, 10.942 Å; angles 90.00, 90.00, 120.00 degrees
Fractional positions:
Al 0.333 0.667 0.301
Al 0.667 0.333 0.699
Tl 0.000 0.000 0.286
Tl 0.000 0.000 0.714
Tl 0.018 0.672 0.901
Tl 0.107 0.430 0.646
Tl 0.323 0.893 0.646
Tl 0.328 0.346 0.901
Tl 0.346 0.018 0.099
Tl 0.430 0.323 0.354
Tl 0.570 0.677 0.646
Tl 0.654 0.982 0.901
Tl 0.672 0.654 0.099
Tl 0.677 0.107 0.354
Tl 0.893 0.570 0.354
Tl 0.982 0.328 0.099
Se 0.000 0.000 0.000
Se 0.124 0.393 0.374
Se 0.270 0.876 0.374
Se 0.333 0.667 0.080
Se 0.393 0.270 0.626
Se 0.607 0.730 0.374
Se 0.667 0.333 0.920
Se 0.730 0.124 0.626
Se 0.876 0.607 0.626

---

## Rb3Sr3USe8 (PBE-GGA)

Data for an optimized crystal structure of Rb3Sr3USe8.

## Properties
energy relative to the elements, uncorrected	-1.4302	eV per atom
uncorrected energy	-68.565	eV for the cell shown

Cell lengths 9.624, 9.624, 9.624 Å; angles 55.35, 55.35, 55.35 degrees
Fractional positions:
Rb 0.000 0.500 0.500
Rb 0.500 0.000 0.500
Rb 0.500 0.500 0.000
Sr 0.000 0.000 0.500
Sr 0.000 0.500 0.000
Sr 0.500 0.000 0.000
U 0.500 0.500 0.500
Se 0.236 0.236 0.236
Se 0.273 0.708 0.708
Se 0.292 0.292 0.727
Se 0.292 0.727 0.292
Se 0.708 0.273 0.708
Se 0.708 0.708 0.273
Se 0.727 0.292 0.292
Se 0.764 0.764 0.764

---

## CsZrAl3 (PBE-GGA)

Data for an optimized crystal structure of CsZrAl3.

## Properties
relative energy among the computed polymorphs	663	kJ/mol of formula units
formation enthalpy at 0 K	1975	meV/atom
uncorrected energy	-10.756	eV for the cell shown

Cell lengths 5.378, 5.378, 5.378 Å; angles 90.00, 90.00, 90.00 degrees
Fractional positions:
Cs 0.000 0.000 0.000
Zr 0.500 0.500 0.500
Al 0.000 0.000 0.500
Al 0.000 0.500 0.000
Al 0.500 0.000 0.000

---

## Er2AgRuC (PBE-GGA)

Data for an optimized crystal structure of Er2AgRuC.

## Properties
formation enthalpy at 0 K	-402	meV/atom
uncorrected energy	-32.487	eV for the cell shown

Cell lengths 4.942, 4.942, 3.887 Å; angles 90.00, 90.00, 90.00 degrees
Fractional positions:
Er 0.000 0.500 0.000
Er 0.500 0.000 0.000
Ag 0.000 0.000 0.500
Ru 0.500 0.500 0.500
C 0.500 0.500 0.000

---

## Nb7Ru3 (PBE-GGA)

Data for an optimized crystal structure of Nb7Ru3.

## Properties
formation enthalpy at 0 K	-1	meV/atom
uncorrected energy	-196.647	eV for the cell shown

Cell lengths 8.437, 8.437, 5.755 Å; angles 90.00, 90.00, 120.00 degrees
Fractional positions:
Nb 0.057 0.528 0.000
Nb 0.122 0.244 0.259
Nb 0.122 0.878 0.259
Nb 0.244 0.122 0.759
Nb 0.333 0.667 0.338
Nb 0.472 0.528 0.000
Nb 0.472 0.943 0.000
Nb 0.528 0.057 0.500
Nb 0.528 0.472 0.500
Nb 0.667 0.333 0.838
Nb 0.756 0.878 0.259
Nb 0.878 0.122 0.759
Nb 0.878 0.756 0.759
Nb 0.943 0.472 0.500
Ru 0.208 0.415 0.699
Ru 0.208 0.792 0.699
Ru 0.415 0.208 0.199
Ru 0.585 0.792 0.699
Ru 0.792 0.208 0.199
Ru 0.792 0.585 0.199

---

## SmCu2Au8 (PBE-GGA)

Data for an optimized crystal structure of SmCu2Au8.

## Properties
formation enthalpy at 0 K	-41	meV/atom
uncorrected energy	-39.581	eV for the cell shown

Cell lengths 5.574, 5.574, 8.036 Å; angles 90.00, 90.00, 90.00 degrees
Fractional positions:
Sm 0.000 0.000 0.000
Cu 0.000 0.500 0.500
Cu 0.500 0.000 0.500
Au 0.253 0.253 0.280
Au 0.253 0.253 0.720
Au 0.253 0.747 0.280
Au 0.253 0.747 0.720
Au 0.747 0.253 0.280
Au 0.747 0.253 0.720
Au 0.747 0.747 0.280
Au 0.747 0.747 0.720

---

## TcRu2Rh2 (PBE-GGA)

Data for an optimized crystal structure of TcRu2Rh2.

## Properties
relative energy among the computed polymorphs	0	kJ/mol of formula units
formation enthalpy at 0 K	7	meV/atom
uncorrected energy	-87.170	eV for the cell shown

Cell lengths 4.705, 4.713, 7.154 Å; angles 102.85, 109.04, 99.50 degrees
Fractional positions:
Tc 0.101 0.046 0.350
Tc 0.899 0.954 0.650
Ru 0.303 0.148 0.052
Ru 0.500 0.246 0.753
Ru 0.500 0.754 0.247
Ru 0.697 0.852 0.948
Rh 0.098 0.550 0.849
Rh 0.304 0.655 0.549
Rh 0.696 0.345 0.451
Rh 0.902 0.450 0.151

---

## HfTi3H (PBE-GGA)

Data for an optimized crystal structure of HfTi3H.

## Properties
relative energy among the computed polymorphs	2	kJ/mol of formula units
uncorrected energy	-37.332	eV for the cell shown

Cell lengths 4.219, 4.219, 4.219 Å; angles 90.00, 90.00, 90.00 degrees
Fractional positions:
Hf 0.000 0.000 0.000
Ti 0.000 0.500 0.500
Ti 0.500 0.000 0.500
Ti 0.500 0.500 0.000
H 0.500 0.500 0.500

---

## Cd2SbSe (PBE-GGA)

Data for an optimized crystal structure of Cd2SbSe.

## Properties
energy relative to the elements, uncorrected	0.0872	eV per atom
uncorrected energy	-9.088	eV for the cell shown

Cell lengths 3.551, 3.551, 7.735 Å; angles 90.00, 90.00, 97.10 degrees
Fractional positions:
Cd 0.000 0.000 0.000
Cd 0.500 0.500 0.256
Sb 0.000 0.000 0.533
Se 0.500 0.500 0.766

---

## CoRuCl (PBE-GGA)

Data for an optimized crystal structure of CoRuCl.

## Properties
energy relative to the elements, uncorrected	0.4527	eV per atom
relative energy among the computed polymorphs	0	kJ/mol of formula units
uncorrected energy	-16.870	eV for the cell shown

Cell lengths 2.889, 2.889, 5.789 Å; angles 90.00, 90.00, 120.00 degrees
Fractional positions:
Co 0.000 0.000 0.000
Ru 0.333 0.667 0.320
Cl 0.667 0.333 0.685

---

## CsTaS3 (PBE-GGA)

Data for an optimized crystal structure of CsTaS3.

## Properties
energy relative to the elements, uncorrected	2.0330	eV per atom
relative energy among the computed polymorphs	1548	kJ/mol of formula units
uncorrected energy	-14.923	eV for the cell shown

Cell lengths 5.309, 5.309, 5.309 Å; angles 90.00, 90.00, 90.00 degrees
Fractional positions:
Cs 0.000 0.000 0.000
Ta 0.500 0.500 0.500
S 0.000 0.000 0.500
S 0.000 0.500 0.000
S 0.500 0.000 0.000

---

## Be2TcAg (PBE-GGA)

Data for an optimized crystal structure of Be2TcAg.

## Properties
relative energy among the computed polymorphs	0	kJ/mol of formula units
formation enthalpy at 0 K	70	meV/atom
uncorrected energy	-20.391	eV for the cell shown

Cell lengths 2.897, 2.897, 5.803 Å; angles 90.00, 90.00, 90.00 degrees
Fractional positions:
Be 0.000 0.000 0.214
Be 0.000 0.000 0.786
Tc 0.500 0.500 0.000
Ag 0.500 0.500 0.500

---

## Y8Tm5Pu (PBE-GGA)

Data for an optimized crystal structure of Y8Tm5Pu.

## Properties
formation enthalpy at 0 K	293	meV/atom
uncorrected energy	-84.300	eV for the cell shown

Cell lengths 8.380, 8.380, 8.380 Å; angles 106.77, 106.77, 115.01 degrees
Fractional positions:
Y 0.151 0.287 0.811
Y 0.193 0.786 0.900
Y 0.214 0.114 0.408
Y 0.476 0.341 0.189
Y 0.659 0.849 0.135
Y 0.706 0.807 0.592
Y 0.713 0.524 0.865
Y 0.886 0.294 0.100
Tm 0.274 0.546 0.580
Tm 0.306 0.726 0.272
Tm 0.454 0.034 0.728
Tm 0.750 0.250 0.500
Tm 0.966 0.694 0.420
Pu 0.000 0.000 0.000

---

## NaHgTeO4 (PBE-GGA)

Data for an optimized crystal structure of NaHgTeO4.

## Properties
energy relative to the elements, uncorrected	-0.8721	eV per atom
uncorrected energy	-61.400	eV for the cell shown

Cell lengths 6.725, 6.725, 6.725 Å; angles 120.74, 118.51, 90.66 degrees
Fractional positions:
Na 0.000 0.000 0.000
Na 0.500 0.000 0.500
Hg 0.500 0.000 0.000
Hg 0.500 0.500 0.500
Te 0.113 0.363 0.750
Te 0.887 0.637 0.250
O 0.229 0.250 0.521
O 0.229 0.709 0.979
O 0.243 0.740 0.503
O 0.263 0.260 0.003
O 0.737 0.740 0.997
O 0.757 0.260 0.497
O 0.771 0.291 0.021
O 0.771 0.750 0.479

---

## SrBiS2N (PBE-GGA)

Data for an optimized crystal structure of SrBiS2N.

## Properties
energy relative to the elements, uncorrected	-0.0914	eV per atom
relative energy among the computed polymorphs	0	kJ/mol of formula units
uncorrected energy	-22.600	eV for the cell shown

Cell lengths 5.325, 5.325, 4.369 Å; angles 90.00, 90.00, 90.00 degrees
Fractional positions:
Sr 0.000 0.000 0.000
Bi 0.500 0.500 0.500
S 0.000 0.500 0.500
S 0.500 0.000 0.500
N 0.500 0.500 0.000